{
  "formula": "La3SiH",
  "functional": "PBE",
  "state": "optimized geometry",
  "lattice": [[4.062, 0.000, 0.000], [-0.001, 7.601, 0.000], [-0.002, -0.316, 8.340]],
  "species": ["La", "La", "La", "La", "La", "La", "Si", "Si", "H", "H"],
  "fractional_positions": [[0.249, 0.135, 0.378], [0.249, 0.780, 0.968], [0.250, 0.587, 0.324], [0.750, 0.413, 0.676], [0.751, 0.220, 0.032], [0.751, 0.865, 0.622], [0.251, 0.122, 0.765], [0.749, 0.878, 0.235], [0.250, 0.641, 0.635], [0.750, 0.359, 0.365]]
}

{
  "formula": "LaSiH3",
  "functional": "PBE",
  "state": "optimized geometry",
  "lattice": [[3.794, 0.000, 0.000], [0.000, 3.794, 0.000], [0.000, 0.000, 3.794]],
  "species": ["La", "Si", "H", "H", "H"],
  "fractional_positions": [[0.000, 0.000, 0.000], [0.500, 0.500, 0.500], [0.000, 0.500, 0.500], [0.500, 0.000, 0.500], [0.500, 0.500, 0.000]]
}

The evaluated total DFT energy (no corrections) for the records listed, in turn: -5.14; -4.10 eV per atom.
The evaluated calculated volume for the records listed, in turn: 257.5; 54.6 Å³ per cell.